# 1
# YMn2W PBE-GGA optimized geometry
# DOS(E_F)   1.14 states/eV/atom
# Calculated density   8.946 g/cm³
# Calculated formation energy   2.4 eV/f.u.
# Electronic total energy   -106.19 eV for the cell shown
# Crystal system   trigonal
data_YMn2W
_chemical_formula_sum 'Y3 Mn6 W3'
_cell_length_a 3.1049
_cell_length_b 3.1049
_cell_length_c 25.5213
_cell_angle_alpha 90.00
_cell_angle_beta 90.00
_cell_angle_gamma 120.00
_symmetry_space_group_name_H-M 'R -3 m'
_symmetry_Int_Tables_number 166
_symmetry_space_group_name_Hall '-R 3 2"'
loop_
_atom_site_label
_atom_site_type_symbol
_atom_site_fract_x
_atom_site_fract_y
_atom_site_fract_z
Y1 Y 0.0000 0.0000 0.0000
Mn1 Mn 0.0000 0.0000 0.2373
W1 W 0.0000 0.0000 0.5000

***

# 2
# TiPtI3 PBE-GGA optimized geometry
# DOS(E_F)   1.81 states/eV/atom
# Calculated density   6.506 g/cm³
# Energy relative to the elements, uncorrected   492 meV per atom
# Electronic total energy   -16.13 eV for the cell shown
# Crystal system   cubic
data_TiPtI3
_chemical_formula_sum 'Ti1 Pt1 I3'
_cell_length_a 5.420
_cell_length_b 5.420
_cell_length_c 5.420
_cell_angle_alpha 90.00
_cell_angle_beta 90.00
_cell_angle_gamma 90.00
_symmetry_space_group_name_H-M 'P m -3 m'
_symmetry_Int_Tables_number 221
_symmetry_space_group_name_Hall '-P 4 2 3'
loop_
_atom_site_label
_atom_site_type_symbol
_atom_site_fract_x
_atom_site_fract_y
_atom_site_fract_z
Ti1 Ti 0.000 0.000 0.000
Pt1 Pt 0.500 0.500 0.500
I1 I 0.000 0.000 0.500

***

# 3
# NaZn2P2O8 PBE-GGA optimized geometry
# DOS(E_F)   0.49 states/eV/atom
# Calculated density   2.974 g/cm³
# Energy relative to the elements, uncorrected   -1891 meV per atom
# Electronic total energy   -157.87 eV for the cell shown
# Crystal system   triclinic
data_NaZn2P2O8
_chemical_formula_sum 'Na2 Zn4 P4 O16'
_cell_length_a 5.167
_cell_length_b 8.900
_cell_length_c 8.927
_cell_angle_alpha 94.92
_cell_angle_beta 106.22
_cell_angle_gamma 100.26
_symmetry_space_group_name_H-M 'P -1'
_symmetry_Int_Tables_number 2
loop_
_symmetry_equiv_pos_as_xyz
'x,y,z'
'-x,-y,-z'
loop_
_atom_site_label
_atom_site_type_symbol
_atom_site_fract_x
_atom_site_fract_y
_atom_site_fract_z
Na1 Na 0.099 0.309 0.295
Zn1 Zn 0.189 0.124 0.890
Zn2 Zn 0.272 0.753 0.407
P1 P 0.333 0.415 0.714
P2 P 0.403 0.052 0.242
O1 O 0.093 0.324 0.569
O2 O 0.214 0.890 0.240
O3 O 0.223 0.127 0.112
O4 O 0.282 0.576 0.755
O5 O 0.322 0.967 0.783
O6 O 0.347 0.332 0.860
O7 O 0.392 0.571 0.327
O8 O 0.446 0.153 0.400

***

# 4
# TcNi2Te PBE-GGA optimized geometry
# DOS(E_F)   1.13 states/eV/atom
# Calculated density   9.234 g/cm³
# Energy relative to the elements, uncorrected   484 meV per atom
# Electronic total energy   -69.40 eV for the cell shown
# Crystal system   trigonal
data_TcNi2Te
_chemical_formula_sum 'Tc3 Ni6 Te3'
_cell_length_a 2.9318
_cell_length_b 2.9318
_cell_length_c 24.8561
_cell_angle_alpha 90.00
_cell_angle_beta 90.00
_cell_angle_gamma 120.00
_symmetry_space_group_name_H-M 'R -3 m'
_symmetry_Int_Tables_number 166
_symmetry_space_group_name_Hall '-R 3 2"'
loop_
_atom_site_label
_atom_site_type_symbol
_atom_site_fract_x
_atom_site_fract_y
_atom_site_fract_z
Tc1 Tc 0.0000 0.0000 0.0000
Ni1 Ni 0.0000 0.0000 0.2543
Te1 Te 0.0000 0.0000 0.5000